LaMgTa: optimized geometry, PBE.

Lattice parameters (Å, degrees): 3.518 3.518 12.787 90.00 90.00 90.00
Sites, in units of the cell vectors:
La (0.000, 0.500, 0.722)
La (0.500, 0.000, 0.278)
Mg (0.000, 0.500, 0.075)
Mg (0.500, 0.000, 0.925)
Ta (0.000, 0.500, 0.452)
Ta (0.500, 0.000, 0.548)

Computed properties:
E_tot: -18.0 eV per formula unit
crystal system: tetragonal
DFT formation energy: 2.88 kcal/mol of atoms
excess energy over the best structure of this formula in the dataset: 0.000 eV/atom
size of the total moment: 0.00 μB/f.u.


LaMg2Ta: optimized geometry, PBE.

Lattice parameters (Å, degrees): 4.300 4.300 11.719 79.43 79.43 90.00
Sites, in units of the cell vectors:
Mg (0.656, 0.125, 0.250)
Mg (0.094, 0.625, 0.250)
Mg (0.375, 0.344, 0.750)
Mg (0.875, 0.906, 0.750)
La (0.500, 0.500, 0.000)
La (0.250, 0.750, 0.500)
Ta (0.000, 0.000, 0.000)
Ta (0.750, 0.250, 0.500)

Computed properties:
E_tot: -16.8 eV per formula unit
crystal system: tetragonal
DFT formation energy: 18.03 kcal/mol of atoms
excess energy over the best structure of this formula in the dataset: 0.545 eV/atom
size of the total moment: 0.56 μB/f.u.


La2MgTa: optimized geometry, PBE.

Lattice parameters (Å, degrees): 6.708 6.708 6.708 150.82 130.35 58.63
Sites, in units of the cell vectors:
La (0.029, 0.029, 0.000)
La (0.740, 0.240, 0.500)
Mg (0.468, 0.468, 0.000)
Ta (0.263, 0.763, 0.500)

Computed properties:
E_tot: -21.9 eV per formula unit
crystal system: orthorhombic
DFT formation energy: 8.21 kcal/mol of atoms
size of the total moment: 0.00 μB/f.u.


La2MgTa: optimized geometry, PBE.

Lattice parameters (Å, degrees): 3.321 5.607 5.570 90.00 90.00 90.00
Sites, in units of the cell vectors:
La (0.000, 0.000, 0.000)
La (0.500, 0.500, 0.000)
Mg (0.500, 0.000, 0.500)
Ta (0.000, 0.500, 0.500)

Computed properties:
E_tot: -21.2 eV per formula unit
crystal system: orthorhombic
DFT formation energy: 12.11 kcal/mol of atoms
size of the total moment: 0.00 μB/f.u.